No. 1
The following is a DFT calculation (PBE) of FeSiAs2 after structural relaxation.

Computed properties:
Formation energy (no corrections)   0.5465 eV per atom

Unit cell a=4.4454 b=4.4454 c=4.4454 alpha=60.00 beta=60.00 gamma=60.00
Element x y z (fractional)
Fe 0.0000 0.0000 0.0000
Si 0.7500 0.7500 0.7500
As 0.2500 0.2500 0.2500
As 0.5000 0.5000 0.5000

=====

No. 2
The following is a DFT calculation (PBE) of KRbBa2Ni after structural relaxation.

Computed properties:
E_form   182 meV/atom

Unit cell a=6.1420 b=6.1420 c=7.1529 alpha=90.00 beta=90.00 gamma=90.00
Element x y z (fractional)
K 0.0000 0.0000 0.0000
Rb 0.5000 0.5000 0.0000
Ba 0.0000 0.5000 0.5000
Ba 0.5000 0.0000 0.5000
Ni 0.0000 0.0000 0.5000

=====

No. 3
The following is a DFT calculation (PBE) of HgSb2Ru after structural relaxation.

Computed properties:
Formation energy (no corrections)   0.3255 eV per atom

Unit cell a=3.6501 b=4.6146 c=5.4661 alpha=90.00 beta=109.29 gamma=90.00
Element x y z (fractional)
Hg 0.0000 0.0000 0.0000
Sb 0.4477 0.5000 0.8953
Sb 0.7276 0.0000 0.4581
Ru 0.1695 0.5000 0.3398

=====

No. 4
The following is a DFT calculation (PBE) of Ce2ThS3 after structural relaxation.

Computed properties:
Formation energy (no corrections)   -1.9845 eV per atom
Excess energy over the best structure of this formula in the dataset   0 meV/atom

Unit cell a=13.3821 b=12.7594 c=6.9667 alpha=79.55 beta=69.66 gamma=30.79
Element x y z (fractional)
Ce 0.0416 0.0416 0.2084
Ce 0.1251 0.1251 0.6249
Ce 0.2084 0.2084 0.0416
Ce 0.3751 0.3751 0.8749
Ce 0.6249 0.6249 0.1251
Ce 0.7916 0.7916 0.9584
Ce 0.8749 0.8749 0.3751
Ce 0.9584 0.9584 0.7916
Th 0.2916 0.2916 0.4584
Th 0.4584 0.4584 0.2916
Th 0.5416 0.5416 0.7084
Th 0.7084 0.7084 0.5416
S 0.0421 0.5418 0.2064
S 0.1234 0.6266 0.6266
S 0.2064 0.7098 0.0421
S 0.2902 0.7936 0.4582
S 0.3734 0.8766 0.8766
S 0.4582 0.9579 0.2902
S 0.5418 0.0421 0.7098
S 0.6266 0.1234 0.1234
S 0.7098 0.2064 0.5418
S 0.7936 0.2902 0.9579
S 0.8766 0.3734 0.3734
S 0.9579 0.4582 0.7936

=====

No. 5
The following is a DFT calculation (PBE) of UV2Mo after structural relaxation.

Computed properties:
Excess energy over the best structure of this formula in the dataset   444 meV/atom
E_form   591 meV/atom

Unit cell a=10.3598 b=10.3598 c=10.3598 alpha=15.27 beta=15.27 gamma=15.27
Element x y z (fractional)
U 0.0000 0.0000 0.0000
V 0.4197 0.4197 0.4197
V 0.5803 0.5803 0.5803
Mo 0.5000 0.5000 0.5000

=====

No. 6
The following is a DFT calculation (PBE) of La4Sm3DyS8 after structural relaxation.

Computed properties:
Formation energy (no corrections)   -2.0930 eV per atom

Unit cell a=8.1555 b=8.1555 c=8.1555 alpha=59.75 beta=59.75 gamma=59.75
Element x y z (fractional)
La 0.0000 0.0000 0.0000
La 0.0000 0.5000 0.5000
La 0.5000 0.0000 0.5000
La 0.5000 0.5000 0.0000
Sm 0.0000 0.0000 0.5000
Sm 0.0000 0.5000 0.0000
Sm 0.5000 0.0000 0.0000
Dy 0.5000 0.5000 0.5000
S 0.2465 0.2465 0.2465
S 0.2503 0.7427 0.7427
S 0.2573 0.2573 0.7497
S 0.2573 0.7497 0.2573
S 0.7427 0.2503 0.7427
S 0.7427 0.7427 0.2503
S 0.7497 0.2573 0.2573
S 0.7535 0.7535 0.7535

=====

No. 7
The following is a DFT calculation (PBE) of CeNd2Er2Tm2 after structural relaxation.

Computed properties:
E_form   148 meV/atom

Unit cell a=8.7826 b=8.7826 c=8.8066 alpha=119.38 beta=119.38 gamma=22.60
Element x y z (fractional)
Ce 0.0000 0.0000 0.0000
Nd 0.3488 0.3488 0.5539
Nd 0.6512 0.6512 0.4461
Er 0.2742 0.2742 0.8543
Er 0.7258 0.7258 0.1457
Tm 0.4297 0.4297 0.2718
Tm 0.5703 0.5703 0.7282

=====

No. 8
The following is a DFT calculation (PBE) of UGa2Ru after structural relaxation.

Computed properties:
E_form   -220 meV/atom

Unit cell a=3.0684 b=3.0684 c=7.2929 alpha=90.00 beta=90.00 gamma=90.00
Element x y z (fractional)
U 0.0000 0.0000 0.0000
Ga 0.5000 0.5000 0.3039
Ga 0.5000 0.5000 0.6961
Ru 0.0000 0.0000 0.5000

=====

Copy entry 2 word for word.
The following is a DFT calculation (PBE) of KRbBa2Ni after structural relaxation.

Computed properties:
E_form   182 meV/atom

Unit cell a=6.1420 b=6.1420 c=7.1529 alpha=90.00 beta=90.00 gamma=90.00
Element x y z (fractional)
K 0.0000 0.0000 0.0000
Rb 0.5000 0.5000 0.0000
Ba 0.0000 0.5000 0.5000
Ba 0.5000 0.0000 0.5000
Ni 0.0000 0.0000 0.5000